Entry 1:
First-principles (PBE-GGA) data for a relaxed structure of Ac4Pu3N10, as listed in the Alexandria database.

Cell and atoms, written as POSCAR:
```
Ac4Pu3N10
1.0
-2.133 2.133 15.161
2.133 -2.133 15.161
2.133 2.133 -15.161
Ac Pu N
4 3 10
direct
0.070 0.070 0.000
0.204 0.204 0.000
0.796 0.796 0.000
0.930 0.930 0.000
0.359 0.359 0.000
0.500 0.500 0.000
0.641 0.641 0.000
0.000 0.500 0.500
0.140 0.640 0.500
0.288 0.288 0.000
0.360 0.860 0.500
0.429 0.429 0.000
0.500 0.000 0.500
0.571 0.571 0.000
0.640 0.140 0.500
0.712 0.712 0.000
0.860 0.360 0.500
```

Results
The calculation puts the raw formation energy at -1.103 eV per atom. The space group is I4/mmm.

=====

Entry 2:
First-principles (PBE-GGA) data for a relaxed structure of ZnAg3Pt, as listed in the Alexandria database.

Cell and atoms, written as POSCAR:
```
ZnAg3Pt
1.0
4.704 0.000 0.000
0.000 4.704 0.000
0.000 0.000 4.704
Zn Ag Pt
1 3 1
direct
0.000 0.000 0.000
0.000 0.000 0.500
0.000 0.500 0.000
0.500 0.000 0.000
0.500 0.500 0.500
```

Results
The energy above the most stable polymorph in this dataset is 0.00 eV per formula unit. The formation energy is 0.761 eV per atom. The space group is Pm-3m.

=====

Entry 3:
First-principles (PBE-GGA) data for a relaxed structure of TeOsSe2, as listed in the Alexandria database.

Cell and atoms, written as POSCAR:
```
TeOsSe2
1.0
3.176 -1.834 0.000
3.176 1.834 0.000
-2.103 0.000 7.843
Te Os Se
1 1 2
direct
0.000 0.000 0.000
0.745 0.745 0.234
0.253 0.253 0.751
0.463 0.463 0.391
```

Results
The calculation puts the raw formation energy at 0.285 eV per atom. The space group is Cm.